Record 1
4
Lattice="-3.1923 -3.1871 -2.8987 2.1129 -3.9653 -2.9262 -0.7410 -5.1035 1.4682" Properties=species:S:1:pos:R:3 comment="AcTbTlRh | Alexandria | PBE | relaxed" dft_energy_ev_per_atom=-4.957 density_g_cm3=10.560 ef_ev_per_fu=-1.4 m_tot_mub_per_cell=0.00 vol_a3_per_cell=109.0 space_group="F-43m, No. 216" pbc="T T T"
Tl 0.0000 0.0000 0.0000
Ac -1.3653 -9.1920 -3.2675
Rh -0.9102 -6.1280 -2.1783
Tb -0.4551 -3.0640 -1.0892

Record 2
4
Lattice="-2.0929 -4.7026 -0.6061 2.6222 -4.2151 1.4896 -1.5626 -2.6946 4.1424" Properties=species:S:1:pos:R:3 comment="AcTbZnRh | Alexandria | PBE | relaxed" dft_energy_ev_per_atom=-4.771 density_g_cm3=9.349 ef_ev_per_fu=-1.7 m_tot_mub_per_cell=0.00 vol_a3_per_cell=98.4 space_group="F-43m, No. 216" pbc="T T T"
Tb -0.5167 -5.8061 2.5129
Zn -0.2583 -2.9031 1.2565
Rh -0.7750 -8.7092 3.7694
Ac 0.0000 0.0000 0.0000

Record 3
9
Lattice="6.4586 0.0000 3.6090 2.2210 6.0647 3.6090 -0.2385 -0.1667 8.0105" Properties=species:S:1:pos:R:3 comment="Ac6TcRh2 | Alexandria | PBE | relaxed" dft_energy_ev_per_atom=-5.831 density_g_cm3=8.603 ef_ev_per_fu=-2.8 m_tot_mub_per_cell=0.00 vol_a3_per_cell=321.5 space_group="R-3, No. 148" pbc="T T T"
Ac 4.2127 4.4371 10.2348
Rh 1.2710 0.8881 5.3090
Ac 1.2578 2.4300 7.8000
Ac 4.8517 0.3455 8.9944
Ac 7.1833 3.4681 7.4285
Tc 0.0000 0.0000 0.0000
Rh 7.1700 5.0100 9.9195
Ac 4.2284 1.4610 4.9937
Ac 3.5893 5.5526 6.2341

Record 4
6
Lattice="-2.5564 2.5154 -3.4536 1.9608 -2.9251 0.0072 -8.7804 -5.8803 2.2164" Properties=species:S:1:pos:R:3 comment="AcTcRh | Alexandria | PBE | relaxed" dft_energy_ev_per_atom=-7.046 density_g_cm3=10.614 ef_ev_per_fu=0.7 m_tot_mub_per_cell=0.66 vol_a3_per_cell=133.9 space_group="P4/mmm, No. 123" pbc="T T T"
Ac -3.8519 -1.2923 -1.6790
Rh -1.0129 0.6096 -2.3952
Tc -0.6721 -1.2761 -0.4319
Ac -6.9538 -3.3697 -0.8960
Rh -4.1247 -3.5888 0.4393
Tc -7.5775 -5.9007 1.3112

Record 5
11
Lattice="7.0663 -1.0698 0.0009 -1.1213 6.9879 -4.3355 -0.0050 0.0087 8.6516" Properties=species:S:1:pos:R:3 comment="Ac8Tc2Rh | Alexandria | PBE | relaxed" dft_energy_ev_per_atom=-5.584 density_g_cm3=8.420 ef_ev_per_fu=-0.5 m_tot_mub_per_cell=0.00 vol_a3_per_cell=417.1 space_group="C2/m, No. 12" pbc="T T T"
Rh -0.0050 0.0087 8.6515
Ac 5.0031 0.8539 4.3222
Ac 4.4143 4.3813 -2.2391
Ac 0.9252 4.9209 4.3229
Ac 1.5299 1.5439 2.0896
Tc 2.8478 2.5590 4.3235
Tc 3.0922 3.3679 -0.0066
Ac 0.9368 5.0730 -0.0053
Ac 1.5257 1.5455 6.5560
Ac 4.4101 4.3830 2.2273
Ac 5.0148 1.0059 -0.0060

Record 6
6
Lattice="-0.8492 0.1522 -4.3063 5.8364 2.9464 -1.0468 0.6533 -8.0853 1.8250" Properties=species:S:1:pos:R:3 comment="Ac3Te2Rh | Alexandria | PBE | relaxed" dft_energy_ev_per_atom=-5.538 density_g_cm3=8.124 m_tot_mub_per_cell=0.00 raw_formation_energy_ev_per_atom=-1.211 vol_a3_per_cell=212.4 space_group="Immm, No. 71" pbc="T T T"
Ac 0.0000 0.0000 0.0000
Ac 2.2812 -4.7381 -0.6173
Te 0.7052 -2.2705 -2.4589
Te 4.9353 -2.7163 -1.0692
Ac 3.3593 -0.2487 -2.9108
Rh 2.9182 1.4732 -0.5234